# Ac2Al2Os2C, optimized geometry, DFT PBE
# DFT total energy = -49.78 eV per cell
# Formation enthalpy at 0 K = -33 kJ/mol of atoms
# V = 21.8 A^3/atom
# SG = No. 12
data_Ac2Al2Os2C
_cell_length_a 4.422
_cell_length_b 6.357
_cell_length_c 6.255
_cell_angle_alpha 75.45
_cell_angle_beta 69.30
_cell_angle_gamma 69.65
_space_group_name_H-M_alt 'P 1'
_space_group_IT_number 1
loop_
_space_group_symop_operation_xyz
'x,y,z'
loop_
_atom_site_label
_atom_site_type_symbol
_atom_site_fract_x
_atom_site_fract_y
_atom_site_fract_z
Ac1 Ac 0.560 0.177 0.703
Os1 Os 0.191 0.705 0.912
Ac2 Ac 0.440 0.823 0.297
C1 C 0.000 0.000 0.000
Os2 Os 0.809 0.295 0.088
Al1 Al 0.827 0.605 0.742
Al2 Al 0.173 0.395 0.258

# AcAl2Re2C, optimized geometry, DFT PBE
# DFT total energy = -47.09 eV per cell
# Formation enthalpy at 0 K = -22 kJ/mol of atoms
# V = 17.5 A^3/atom
# SG = No. 123
data_AcAl2Re2C
_cell_length_a 4.232
_cell_length_b 4.232
_cell_length_c 5.872
_cell_angle_alpha 90.00
_cell_angle_beta 90.00
_cell_angle_gamma 90.00
_space_group_name_H-M_alt 'P 1'
_space_group_IT_number 1
loop_
_space_group_symop_operation_xyz
'x,y,z'
loop_
_atom_site_label
_atom_site_type_symbol
_atom_site_fract_x
_atom_site_fract_y
_atom_site_fract_z
Al1 Al 0.500 0.500 0.265
Al2 Al 0.500 0.500 0.735
Re1 Re 0.000 0.500 0.000
C1 C 0.000 0.000 0.000
Ac1 Ac 0.000 0.000 0.500
Re2 Re 0.500 0.000 0.000

# AcAlRu2C, optimized geometry, DFT PBE
# DFT total energy = -74.14 eV per cell
# Formation enthalpy at 0 K = -28 kJ/mol of atoms
# V = 17.8 A^3/atom
# SG = No. 63
data_AcAlRu2C
_cell_length_a 4.266
_cell_length_b 6.084
_cell_length_c 7.331
_cell_angle_alpha 90.00
_cell_angle_beta 90.00
_cell_angle_gamma 110.52
_space_group_name_H-M_alt 'P 1'
_space_group_IT_number 1
loop_
_space_group_symop_operation_xyz
'x,y,z'
loop_
_atom_site_label
_atom_site_type_symbol
_atom_site_fract_x
_atom_site_fract_y
_atom_site_fract_z
Ru1 Ru 0.162 0.323 0.941
C1 C 0.000 0.000 0.500
Ac1 Ac 0.556 0.113 0.250
Ac2 Ac 0.444 0.887 0.750
Al1 Al 0.723 0.445 0.750
C2 C 0.000 0.000 0.000
Ru2 Ru 0.838 0.677 0.059
Al2 Al 0.277 0.555 0.250
Ru3 Ru 0.838 0.677 0.441
Ru4 Ru 0.162 0.323 0.559